1.
A relaxed structure of ZrTeBr, computed with GGA-PBEsol.

Cell lengths 3.729, 3.729, 6.849 Å; angles 90.00, 90.00, 120.00 degrees
Positions (direct):
Te1 0.667 0.333 0.599
Zr1 0.333 0.667 0.328
Br1 0.000 0.000 0.073

Computed properties:
**Raw formation energy**: -1041 meV per atom
**Space-group type**: P3m1 (156)
**Crystal system**: trigonal

***

2.
A relaxed structure of Zr2TeBr, computed with GGA-PBEsol.

Cell lengths 3.960, 3.960, 6.392 Å; angles 108.05, 108.05, 90.00 degrees
Positions (direct):
Te1 0.250 0.750 0.500
Zr1 0.000 0.000 0.000
Zr2 0.750 0.250 0.500
Br1 0.500 0.500 0.000

Computed properties:
**Raw formation energy**: -251 meV per atom
**E above lowest polymorph**: 0 meV/atom
**Space-group type**: I-4m2 (119)
**Crystal system**: tetragonal

***

Number 1: mass density 6.01 g/cm3. Number 2: mass density 7.19 g/cm3.